Entry 1:
Computed, not measured: a relaxed structure of HfSiAu at the GGA-PBE level of DFT.

a = 5.2792 Å, b = 5.2792 Å, c = 6.6524 Å
α = 123.30°, β = 123.30°, γ = 43.96°
Positions (direct):
Au1 0.6683 0.6683 0.0831
Au2 0.3317 0.3317 0.9169
Hf1 0.0728 0.0728 0.3313
Hf2 0.9272 0.9272 0.6687
Si1 0.3557 0.3557 0.3289
Si2 0.6443 0.6443 0.6711

Output
Energy: -40.74 eV/cell

***

Entry 2:
Computed, not measured: a relaxed structure of Hf2SiAu at the GGA-PBE level of DFT.

a = 4.7329 Å, b = 4.7329 Å, c = 4.7329 Å
α = 60.00°, β = 60.00°, γ = 60.00°
Positions (direct):
Au1 0.2500 0.2500 0.2500
Hf1 0.0000 0.0000 0.0000
Hf2 0.7500 0.7500 0.7500
Si1 0.5000 0.5000 0.5000

Output
Energy: -27.82 eV/cell